Entry from Alexandria: a geometry-optimized LiPm2Ga4Ni3 structure (PBE).

V = 173.40 Å³/f.u.
ΔH_f (0 K) = -516.9 meV/atom
SG = P-4m2

a b c (Å): 4.284 4.284 9.448
angles (deg): 90.00 90.00 90.00
Fractional coordinates of all 10 atoms:
Ga (0.500, 0.500, 0.000)
Ga (0.500, 0.000, 0.625)
Ga (0.000, 0.500, 0.375)
Ga (0.000, 0.000, 0.000)
Ni (0.500, 0.000, 0.873)
Ni (0.000, 0.000, 0.500)
Ni (0.000, 0.500, 0.127)
Pm (0.500, 0.000, 0.251)
Pm (0.000, 0.500, 0.749)
Li (0.500, 0.500, 0.500)